Entry from the Alexandria database: a geometry-optimized W2NF2 structure (PBE with a Hubbard U).

```
5
Lattice="-2.512 2.120 0.100 -1.670 -2.070 1.935 0.257 2.584 5.782" Properties=species:S:1:pos:R:3 pbc="T T T"
N 0.000 0.000 0.000
W -1.590 0.571 2.034
W -2.335 2.063 5.782
F -2.173 2.364 3.449
F -1.752 0.269 4.367
```

## Properties
Energy: -5.19 eV/atom
Total magnetic moment: 4.819 Bohr magnetons per cell
D(E_F): 0.804 states/eV/f.u.